Record 1
# CsNiO2, optimized geometry, DFT GGA+U
# **Calculated density**: 3.64 g/cm3
data_CsNiO2
_symmetry_space_group_name_H-M 'P 1'
_symmetry_Int_Tables_number 1
_cell_length_a 4.551
_cell_length_b 6.294
_cell_length_c 7.338
_cell_angle_alpha 78.53
_cell_angle_beta 84.22
_cell_angle_gamma 83.92
loop_
_symmetry_equiv_pos_as_xyz
'x,y,z'
loop_
_atom_site_label
_atom_site_type_symbol
_atom_site_fract_x
_atom_site_fract_y
_atom_site_fract_z
_atom_site_occupancy
Cs1 Cs 0.000 0.000 0.000 1
Cs2 Cs 0.372 0.223 0.461 1
Ni1 Ni 0.552 0.515 0.878 1
Ni2 Ni 0.817 0.713 0.589 1
O1 O 0.450 0.310 0.049 1
O2 O 0.558 0.799 0.785 1
O3 O 0.803 0.427 0.683 1
O4 O 0.943 0.903 0.413 1


Record 2
# Cs2NiO2, optimized geometry, DFT GGA+U
# **Calculated density**: 5.36 g/cm3
data_Cs2NiO2
_symmetry_space_group_name_H-M 'P b a m'
_symmetry_Int_Tables_number 55
_cell_length_a 6.317
_cell_length_b 10.791
_cell_length_c 3.238
_cell_angle_alpha 90.00
_cell_angle_beta 90.00
_cell_angle_gamma 90.00
loop_
_symmetry_equiv_pos_as_xyz
'x,y,z'
'-x,-y,-z'
'-x,-y,z'
'x,y,-z'
'x+1/2,-y+1/2,-z'
'-x+1/2,y+1/2,z'
'-x+1/2,y+1/2,-z'
'x+1/2,-y+1/2,z'
loop_
_atom_site_label
_atom_site_type_symbol
_atom_site_fract_x
_atom_site_fract_y
_atom_site_fract_z
_atom_site_occupancy
Cs1 Cs 0.000 0.157 0.000 1
Ni1 Ni 0.000 0.500 0.000 1
O1 O 0.208 0.499 0.500 1


Record 3
# Cs8Ni3O8, optimized geometry, DFT GGA+U
# **Calculated density**: 4.25 g/cm3
data_Cs8Ni3O8
_symmetry_space_group_name_H-M 'C 1 2/m 1'
_symmetry_Int_Tables_number 12
_cell_length_a 21.175
_cell_length_b 6.051
_cell_length_c 8.731
_cell_angle_alpha 90.00
_cell_angle_beta 107.22
_cell_angle_gamma 90.00
loop_
_symmetry_equiv_pos_as_xyz
'x,y,z'
'-x,-y,-z'
'-x,y,-z'
'x,-y,z'
'x+1/2,y+1/2,z'
'-x+1/2,-y+1/2,-z'
'-x+1/2,y+1/2,-z'
'x+1/2,-y+1/2,z'
loop_
_atom_site_label
_atom_site_type_symbol
_atom_site_fract_x
_atom_site_fract_y
_atom_site_fract_z
_atom_site_occupancy
Cs1 Cs 0.027 0.000 0.244 1
Cs2 Cs 0.106 0.500 0.952 1
Cs3 Cs 0.170 0.500 0.468 1
Cs4 Cs 0.197 0.000 0.808 1
Ni1 Ni 0.000 0.500 0.500 1
Ni2 Ni 0.188 0.000 0.203 1
O1 O 0.015 0.500 0.317 1
O2 O 0.115 0.000 0.027 1
O3 O 0.177 0.000 0.394 1
O4 O 0.234 0.500 0.835 1


Record 4
# Cs12Ni3O5, optimized geometry, DFT GGA+U
# **Calculated density**: 3.60 g/cm3
data_Cs12Ni3O5
_symmetry_space_group_name_H-M 'I a -3 d'
_symmetry_Int_Tables_number 230
_symmetry_space_group_name_Hall '-I 4bd 2c 3'
_cell_length_a 18.970
_cell_length_b 18.970
_cell_length_c 18.970
_cell_angle_alpha 90.00
_cell_angle_beta 90.00
_cell_angle_gamma 90.00
loop_
_atom_site_label
_atom_site_type_symbol
_atom_site_fract_x
_atom_site_fract_y
_atom_site_fract_z
_atom_site_occupancy
Cs1 Cs 0.034 0.048 0.648 1
Ni1 Ni 0.000 0.250 0.125 1
O1 O 0.000 0.000 0.000 1
O2 O 0.000 0.250 0.375 1


Record 5
# Cs5NiO4, optimized geometry, DFT GGA+U
# **Calculated density**: 4.54 g/cm3
data_Cs5NiO4
_symmetry_space_group_name_H-M 'P m m n'
_symmetry_Int_Tables_number 59
_cell_length_a 8.201
_cell_length_b 9.316
_cell_length_c 7.534
_cell_angle_alpha 90.00
_cell_angle_beta 90.00
_cell_angle_gamma 90.00
loop_
_symmetry_equiv_pos_as_xyz
'x,y,z'
'-x,-y,-z'
'-x+1/2,-y+1/2,z'
'x+1/2,y+1/2,-z'
'x+1/2,-y,-z'
'-x+1/2,y,z'
'-x,y+1/2,-z'
'x,-y+1/2,z'
loop_
_atom_site_label
_atom_site_type_symbol
_atom_site_fract_x
_atom_site_fract_y
_atom_site_fract_z
_atom_site_occupancy
Cs1 Cs 0.002 0.045 0.242 1
Cs2 Cs 0.250 0.250 0.599 1
Ni1 Ni 0.250 0.750 0.343 1
O1 O 0.053 0.750 0.209 1
O2 O 0.250 0.571 0.475 1


Record 6
# CsNi2O, optimized geometry, DFT GGA+U
# **Calculated density**: 5.23 g/cm3
data_CsNi2O
_symmetry_space_group_name_H-M 'I 41/a m d'
_symmetry_Int_Tables_number 141
_cell_length_a 6.017
_cell_length_b 6.017
_cell_length_c 9.336
_cell_angle_alpha 90.00
_cell_angle_beta 90.00
_cell_angle_gamma 90.00
loop_
_symmetry_equiv_pos_as_xyz
'x,y,z'
'-x,-y,-z'
'-y+1/4,x+3/4,z+1/4'
'y+1/4,-x+3/4,-z+1/4'
'-x+1/2,-y,z+1/2'
'x+1/2,y,-z+1/2'
'y+1/4,-x+1/4,z+3/4'
'-y+1/4,x+1/4,-z+3/4'
'x,-y,-z'
'-x,y,z'
'-y+1/4,-x+1/4,-z+3/4'
'y+1/4,x+1/4,z+3/4'
'-x+1/2,y,-z+1/2'
'x+1/2,-y,z+1/2'
'y+1/4,x+3/4,-z+1/4'
'-y+1/4,-x+3/4,z+1/4'
'x+1/2,y+1/2,z+1/2'
'-x+1/2,-y+1/2,-z+1/2'
'-y+3/4,x+1/4,z+3/4'
'y+3/4,-x+1/4,-z+3/4'
'-x,-y+1/2,z'
'x,y+1/2,-z'
'y+3/4,-x+3/4,z+1/4'
'-y+3/4,x+3/4,-z+1/4'
'x+1/2,-y+1/2,-z+1/2'
'-x+1/2,y+1/2,z+1/2'
'-y+3/4,-x+3/4,-z+1/4'
'y+3/4,x+3/4,z+1/4'
'-x,y+1/2,-z'
'x,-y+1/2,z'
'y+3/4,x+1/4,-z+3/4'
'-y+3/4,-x+1/4,z+3/4'
loop_
_atom_site_label
_atom_site_type_symbol
_atom_site_fract_x
_atom_site_fract_y
_atom_site_fract_z
_atom_site_occupancy
Cs1 Cs 0.000 0.250 0.375 1
Ni1 Ni 0.000 0.000 0.000 1
O1 O 0.000 0.250 0.875 1


Record 7
# CsNiO2, optimized geometry, DFT GGA+U
# **Calculated density**: 5.14 g/cm3
data_CsNiO2
_symmetry_space_group_name_H-M 'I -4 2 d'
_symmetry_Int_Tables_number 122
_symmetry_space_group_name_Hall 'I -4 2bw'
_cell_length_a 5.980
_cell_length_b 5.980
_cell_length_c 8.078
_cell_angle_alpha 90.00
_cell_angle_beta 90.00
_cell_angle_gamma 90.00
loop_
_atom_site_label
_atom_site_type_symbol
_atom_site_fract_x
_atom_site_fract_y
_atom_site_fract_z
_atom_site_occupancy
Cs1 Cs 0.000 0.000 0.000 1
Ni1 Ni 0.000 0.000 0.500 1
O1 O 0.088 0.750 0.625 1


Record 8
# CsNi3O, optimized geometry, DFT GGA+U
# **Calculated density**: 6.20 g/cm3
data_CsNi3O
_symmetry_space_group_name_H-M 'P m -3 m'
_symmetry_Int_Tables_number 221
_symmetry_space_group_name_Hall '-P 4 2 3'
_cell_length_a 4.432
_cell_length_b 4.432
_cell_length_c 4.432
_cell_angle_alpha 90.00
_cell_angle_beta 90.00
_cell_angle_gamma 90.00
loop_
_atom_site_label
_atom_site_type_symbol
_atom_site_fract_x
_atom_site_fract_y
_atom_site_fract_z
_atom_site_occupancy
Cs1 Cs 0.000 0.000 0.000 1
Ni1 Ni 0.000 0.500 0.500 1
O1 O 0.500 0.500 0.500 1


Record 9
# Cs3NiO3, optimized geometry, DFT GGA+U
# **Calculated density**: 4.12 g/cm3
data_Cs3NiO3
_symmetry_space_group_name_H-M 'R 3 m'
_symmetry_Int_Tables_number 160
_symmetry_space_group_name_Hall 'R 3 -2"'
_cell_length_a 8.0019
_cell_length_b 8.0019
_cell_length_c 11.0283
_cell_angle_alpha 90.00
_cell_angle_beta 90.00
_cell_angle_gamma 120.00
loop_
_atom_site_label
_atom_site_type_symbol
_atom_site_fract_x
_atom_site_fract_y
_atom_site_fract_z
_atom_site_occupancy
Cs1 Cs 0.1689 0.3378 0.0000 1
Ni1 Ni 0.0000 0.0000 0.7717 1
O1 O 0.2038 0.4075 0.4613 1


Record 10
# CsNiOs2O8, optimized geometry, DFT GGA+U
# **Calculated density**: 5.13 g/cm3
data_CsNiOs2O8
_symmetry_space_group_name_H-M 'P -3'
_symmetry_Int_Tables_number 147
_cell_length_a 5.4895
_cell_length_b 5.4895
_cell_length_c 8.6820
_cell_angle_alpha 90.00
_cell_angle_beta 90.00
_cell_angle_gamma 120.00
loop_
_symmetry_equiv_pos_as_xyz
'x,y,z'
'-x,-y,-z'
'-y,x-y,z'
'y,-x+y,-z'
'-x+y,-x,z'
'x-y,x,-z'
loop_
_atom_site_label
_atom_site_type_symbol
_atom_site_fract_x
_atom_site_fract_y
_atom_site_fract_z
_atom_site_occupancy
Cs1 Cs 0.0000 0.0000 0.0000 1
Ni1 Ni 0.0000 0.0000 0.5000 1
Os1 Os 0.3333 0.6667 0.7004 1
O1 O 0.0581 0.3266 0.6409 1
O2 O 0.3333 0.6667 0.9053 1


Record 11
# CsNiPO2, optimized geometry, DFT GGA+U
# **Distance to the lowest polymorph of the same formula**: 0 meV per atom
# **Calculated density**: 5.19 g/cm3
data_CsNiPO2
_symmetry_space_group_name_H-M 'P 4/m m m'
_symmetry_Int_Tables_number 123
_symmetry_space_group_name_Hall '-P 4 2'
_cell_length_a 4.199
_cell_length_b 4.199
_cell_length_c 4.620
_cell_angle_alpha 90.00
_cell_angle_beta 90.00
_cell_angle_gamma 90.00
loop_
_atom_site_label
_atom_site_type_symbol
_atom_site_fract_x
_atom_site_fract_y
_atom_site_fract_z
_atom_site_occupancy
Cs1 Cs 0.000 0.000 0.000 1
Ni1 Ni 0.500 0.500 0.500 1
P1 P 0.500 0.500 0.000 1
O1 O 0.000 0.500 0.500 1


Record 12
# CsNiPO2, optimized geometry, DFT GGA+U
# **Distance to the lowest polymorph of the same formula**: 1015 meV per atom
# **Calculated density**: 3.43 g/cm3
data_CsNiPO2
_symmetry_space_group_name_H-M 'P 4/m m m'
_symmetry_Int_Tables_number 123
_symmetry_space_group_name_Hall '-P 4 2'
_cell_length_a 4.190
_cell_length_b 4.190
_cell_length_c 7.029
_cell_angle_alpha 90.00
_cell_angle_beta 90.00
_cell_angle_gamma 90.00
loop_
_atom_site_label
_atom_site_type_symbol
_atom_site_fract_x
_atom_site_fract_y
_atom_site_fract_z
_atom_site_occupancy
Cs1 Cs 0.000 0.000 0.000 1
Ni1 Ni 0.500 0.500 0.500 1
P1 P 0.000 0.000 0.500 1
O1 O 0.000 0.500 0.000 1


Record 13
# Cs2NiPtO4, optimized geometry, DFT GGA+U
# **Calculated density**: 4.75 g/cm3
data_Cs2NiPtO4
_symmetry_space_group_name_H-M 'F d d d'
_symmetry_Int_Tables_number 70
_cell_length_a 5.731
_cell_length_b 14.227
_cell_length_c 20.010
_cell_angle_alpha 90.00
_cell_angle_beta 90.00
_cell_angle_gamma 90.00
loop_
_symmetry_equiv_pos_as_xyz
'x,y,z'
'-x,-y,-z'
'-x+1/4,-y+1/4,z'
'x+1/4,y+1/4,-z'
'x,-y+1/4,-z+1/4'
'-x,y+1/4,z+1/4'
'-x+1/4,y,-z+1/4'
'x+1/4,-y,z+1/4'
'x,y+1/2,z+1/2'
'-x,-y+1/2,-z+1/2'
'-x+1/4,-y+3/4,z+1/2'
'x+1/4,y+3/4,-z+1/2'
'x,-y+3/4,-z+3/4'
'-x,y+3/4,z+3/4'
'-x+1/4,y+1/2,-z+3/4'
'x+1/4,-y+1/2,z+3/4'
'x+1/2,y,z+1/2'
'-x+1/2,-y,-z+1/2'
'-x+3/4,-y+1/4,z+1/2'
'x+3/4,y+1/4,-z+1/2'
'x+1/2,-y+1/4,-z+3/4'
'-x+1/2,y+1/4,z+3/4'
'-x+3/4,y,-z+3/4'
'x+3/4,-y,z+3/4'
'x+1/2,y+1/2,z'
'-x+1/2,-y+1/2,-z'
'-x+3/4,-y+3/4,z'
'x+3/4,y+3/4,-z'
'x+1/2,-y+3/4,-z+1/4'
'-x+1/2,y+3/4,z+1/4'
'-x+3/4,y+1/2,-z+1/4'
'x+3/4,-y+1/2,z+1/4'
loop_
_atom_site_label
_atom_site_type_symbol
_atom_site_fract_x
_atom_site_fract_y
_atom_site_fract_z
_atom_site_occupancy
Cs1 Cs 0.125 0.125 0.292 1
Ni1 Ni 0.125 0.125 0.125 1
Pt1 Pt 0.125 0.125 0.625 1
O1 O 0.113 0.286 0.377 1


Record 14
# Cs2PuNiO6, optimized geometry, DFT GGA+U
# **Calculated density**: 5.47 g/cm3
data_Cs2PuNiO6
_symmetry_space_group_name_H-M 'P -3 m 1'
_symmetry_Int_Tables_number 164
_symmetry_space_group_name_Hall '-P 3 2"'
_cell_length_a 6.5476
_cell_length_b 6.5476
_cell_length_c 5.4306
_cell_angle_alpha 90.00
_cell_angle_beta 90.00
_cell_angle_gamma 120.00
loop_
_atom_site_label
_atom_site_type_symbol
_atom_site_fract_x
_atom_site_fract_y
_atom_site_fract_z
_atom_site_occupancy
Cs1 Cs 0.3333 0.6667 0.2960 1
Pu1 Pu 0.0000 0.0000 0.0000 1
Ni1 Ni 0.0000 0.0000 0.5000 1
O1 O 0.1345 0.2690 0.7655 1


Record 15
# CsNiRu2O8, optimized geometry, DFT GGA+U
# **Calculated density**: 3.93 g/cm3
data_CsNiRu2O8
_symmetry_space_group_name_H-M 'C 1 2/m 1'
_symmetry_Int_Tables_number 12
_cell_length_a 8.879
_cell_length_b 5.794
_cell_length_c 8.640
_cell_angle_alpha 90.00
_cell_angle_beta 97.36
_cell_angle_gamma 90.00
loop_
_symmetry_equiv_pos_as_xyz
'x,y,z'
'-x,-y,-z'
'-x,y,-z'
'x,-y,z'
'x+1/2,y+1/2,z'
'-x+1/2,-y+1/2,-z'
'-x+1/2,y+1/2,-z'
'x+1/2,-y+1/2,z'
loop_
_atom_site_label
_atom_site_type_symbol
_atom_site_fract_x
_atom_site_fract_y
_atom_site_fract_z
_atom_site_occupancy
Cs1 Cs 0.000 0.000 0.000 1
Ni1 Ni 0.000 0.000 0.500 1
Ru1 Ru 0.117 0.500 0.310 1
O1 O 0.005 0.246 0.328 1
O2 O 0.173 0.500 0.122 1
O3 O 0.231 0.000 0.537 1


Record 16
# Cs2NiRuO, optimized geometry, DFT GGA+U
# **Calculated density**: 4.57 g/cm3
data_Cs2NiRuO
_symmetry_space_group_name_H-M 'P 4/m m m'
_symmetry_Int_Tables_number 123
_symmetry_space_group_name_Hall '-P 4 2'
_cell_length_a 6.544
_cell_length_b 6.544
_cell_length_c 3.746
_cell_angle_alpha 90.00
_cell_angle_beta 90.00
_cell_angle_gamma 90.00
loop_
_atom_site_label
_atom_site_type_symbol
_atom_site_fract_x
_atom_site_fract_y
_atom_site_fract_z
_atom_site_occupancy
Cs1 Cs 0.000 0.500 0.000 1
Ni1 Ni 0.000 0.000 0.500 1
Ru1 Ru 0.500 0.500 0.500 1
O1 O 0.500 0.500 0.000 1


Record 17
# Cs2NiRuO6, optimized geometry, DFT GGA+U
# **Calculated density**: 4.76 g/cm3
data_Cs2NiRuO6
_symmetry_space_group_name_H-M 'P -3 m 1'
_symmetry_Int_Tables_number 164
_symmetry_space_group_name_Hall '-P 3 2"'
_cell_length_a 6.4280
_cell_length_b 6.4280
_cell_length_c 5.0819
_cell_angle_alpha 90.00
_cell_angle_beta 90.00
_cell_angle_gamma 120.00
loop_
_atom_site_label
_atom_site_type_symbol
_atom_site_fract_x
_atom_site_fract_y
_atom_site_fract_z
_atom_site_occupancy
Cs1 Cs 0.3333 0.6667 0.2616 1
Ni1 Ni 0.0000 0.0000 0.5000 1
Ru1 Ru 0.0000 0.0000 0.0000 1
O1 O 0.1355 0.2710 0.7716 1


Record 18
# CsNiSO4, optimized geometry, DFT GGA+U
# **Calculated density**: 3.71 g/cm3
data_CsNiSO4
_symmetry_space_group_name_H-M 'P 1 21/m 1'
_symmetry_Int_Tables_number 11
_cell_length_a 5.615
_cell_length_b 6.031
_cell_length_c 7.658
_cell_angle_alpha 90.00
_cell_angle_beta 96.76
_cell_angle_gamma 90.00
loop_
_symmetry_equiv_pos_as_xyz
'x,y,z'
'-x,-y,-z'
'-x,y+1/2,-z'
'x,-y+1/2,z'
loop_
_atom_site_label
_atom_site_type_symbol
_atom_site_fract_x
_atom_site_fract_y
_atom_site_fract_z
_atom_site_occupancy
Cs1 Cs 0.212 0.250 0.126 1
Ni1 Ni 0.273 0.750 0.616 1
S1 S 0.353 0.250 0.683 1
O1 O 0.197 0.050 0.705 1
O2 O 0.423 0.250 0.501 1
O3 O 0.437 0.750 0.182 1


Record 19
# CsScNiO3, optimized geometry, DFT GGA+U
# **Calculated density**: 4.01 g/cm3
data_CsScNiO3
_symmetry_space_group_name_H-M 'C m c m'
_symmetry_Int_Tables_number 63
_symmetry_space_group_name_Hall '-C 2c 2'
_cell_length_a 5.468
_cell_length_b 15.689
_cell_length_c 5.491
_cell_angle_alpha 90.00
_cell_angle_beta 90.00
_cell_angle_gamma 90.00
loop_
_atom_site_label
_atom_site_type_symbol
_atom_site_fract_x
_atom_site_fract_y
_atom_site_fract_z
_atom_site_occupancy
Cs1 Cs 0.000 0.249 0.250 1
Sc1 Sc 0.000 0.054 0.750 1
Ni1 Ni 0.000 0.493 0.750 1
O1 O 0.000 0.171 0.750 1
O2 O 0.239 0.500 0.000 1


Number 1: V 25.5 Å³ per atom, VASP energy -0.3029 Ry/atom. Number 2: V 22.1 Å³ per atom, VASP energy -0.2676 Ry/atom. Number 3: V 28.1 Å³ per atom, VASP energy -0.2895 Ry/atom. Number 4: V 42.7 Å³ per atom, VASP energy -0.1866 Ry/atom. Number 5: V 28.8 Å³ per atom, VASP energy -0.2652 Ry/atom. Number 6: V 21.1 Å³ per atom, VASP energy -0.2025 Ry/atom. Number 7: V 18.1 Å³ per atom, VASP energy -0.3105 Ry/atom. Number 8: V 17.4 Å³ per atom, VASP energy -0.1518 Ry/atom. Number 9: V 29.1 Å³ per atom, VASP energy -0.2737 Ry/atom. Number 10: V 18.9 Å³ per atom, VASP energy -0.4783 Ry/atom. Number 11: V 16.3 Å³ per atom, VASP energy -0.2596 Ry/atom. Number 12: V 24.7 Å³ per atom, VASP energy -0.1850 Ry/atom. Number 13: V 25.5 Å³ per atom, VASP energy -0.3440 Ry/atom. Number 14: V 20.2 Å³ per atom, VASP energy -0.4845 Ry/atom. Number 15: V 18.4 Å³ per atom, VASP energy -0.4474 Ry/atom. Number 16: V 32.1 Å³ per atom, VASP energy -0.2583 Ry/atom. Number 17: V 18.2 Å³ per atom, VASP energy -0.3888 Ry/atom. Number 18: V 18.4 Å³ per atom, VASP energy -0.3841 Ry/atom. Number 19: V 19.6 Å³ per atom, VASP energy -0.4487 Ry/atom.